# Si2MoRu

A relaxed Si2MoRu crystal (PBE, Alexandria).

Results
The uncorrected formation energy is -0.33 eV per atom. The space-group type is Fm-3m. As for the total magnetization: 0.0 μB per formula unit. As for the density of states at the Fermi level: 3.84 states/eV per cell.

Lattice parameters (Å, degrees): 4.231 4.231 4.231 60.00 60.00 60.00
Fractional positions:
1 Si 0.250 0.250 0.250
2 Si 0.750 0.750 0.750
3 Mo 0.000 0.000 0.000
4 Ru 0.500 0.500 0.500

***

# SiMo2Ru

A relaxed SiMo2Ru crystal (PBE, Alexandria).

Results
The uncorrected formation energy is -0.18 eV per atom. The space-group type is P2/m. As for the total magnetization: 0.0 μB per formula unit. As for the density of states at the Fermi level: 3.17 states/eV per cell.

Lattice parameters (Å, degrees): 2.798 4.097 5.073 90.00 92.60 90.00
Fractional positions:
1 Si 0.000 0.000 0.000
2 Mo 0.477 0.500 0.244
3 Mo 0.523 0.500 0.756
4 Ru 0.000 0.000 0.500

***

# SiMoRu3

A relaxed SiMoRu3 crystal (PBE, Alexandria).

Results
The uncorrected formation energy is 1.72 eV per atom. The value obtained for the energy relative to the lowest polymorph listed for this composition is 447 kJ/mol of formula units. The space-group type is Pm-3m. As for the total magnetization: 0.0 μB per formula unit. As for the density of states at the Fermi level: 6.64 states/eV per cell.

Lattice parameters (Å, degrees): 4.630 4.630 4.630 90.00 90.00 90.00
Fractional positions:
1 Si 0.000 0.000 0.000
2 Mo 0.500 0.500 0.500
3 Ru 0.000 0.500 0.500
4 Ru 0.500 0.000 0.500
5 Ru 0.500 0.500 0.000

***

# Si2MoRu

A relaxed Si2MoRu crystal (PBE, Alexandria).

Results
The uncorrected formation energy is -0.07 eV per atom. The space-group type is R3m. As for the total magnetization: 0.0 μB per formula unit. As for the density of states at the Fermi level: 1.57 states/eV per cell.

Lattice parameters (Å, degrees): 8.089 8.089 8.089 20.58 20.58 20.58
Fractional positions:
1 Si 0.000 0.000 0.000
2 Si 0.250 0.250 0.250
3 Mo 0.751 0.751 0.751
4 Ru 0.508 0.508 0.508

***

Per-record uncorrected energy, hartree per atom: -0.296; -0.341; -0.261; -0.287